# VCuHgO4 | the Alexandria database | PBE+U | optimized geometry
data_VCuHgO4
_chemical_formula_sum 'V4 Cu4 Hg4 O16'
_cell_length_a 8.941
_cell_length_b 6.479
_cell_length_c 8.353
_cell_angle_alpha 90.00
_cell_angle_beta 113.39
_cell_angle_gamma 90.00
_symmetry_space_group_name_H-M 'C 1 2/m 1'
_symmetry_Int_Tables_number 12
_symmetry_space_group_name_Hall '-C 2y'
loop_
_atom_site_label
_atom_site_type_symbol
_atom_site_fract_x
_atom_site_fract_y
_atom_site_fract_z
V1 V 0.241 0.000 0.349
Cu1 Cu 0.143 0.000 0.686
Hg1 Hg 0.043 0.500 0.868
O1 O 0.032 0.000 0.237
O2 O 0.168 0.290 0.716
O3 O 0.204 0.500 0.426
# Final energy: -157.68 eV for the cell shown